No. 1
Compound: PIr2Rh
Source: Alexandria via LeMat-Bulk
Functional: PBE
Structure: optimized geometry

Lattice parameters (Å, degrees): 2.913 3.906 5.185 90.00 105.65 90.00
Space group P2/m (No. 10)
One atom of each set of equivalent atoms:
1 P 0.000 0.000 0.000 x1
2 Ir 0.358 0.500 0.231 x2
3 Rh 0.000 0.000 0.500 x1

Properties
Calculated total energy (eV/cell): -30.6
Energy relative to the elements (kJ/mol of formula units): -13
Crystal system: monoclinic

---

No. 2
Compound: P2IrRh
Source: Alexandria via LeMat-Bulk
Functional: PBE
Structure: optimized geometry

Lattice parameters (Å, degrees): 2.947 2.947 6.266 90.00 90.00 90.00
Space group P4/mmm (No. 123)
One atom of each set of equivalent atoms:
1 P 0.000 0.000 0.249 x2
2 Ir 0.500 0.500 0.500 x1
3 Rh 0.500 0.500 0.000 x1

Properties
Calculated total energy (eV/cell): -27.0
Energy relative to the elements (kJ/mol of formula units): -1
Crystal system: tetragonal

---

No. 3
Compound: PIr2Rh
Source: Alexandria via LeMat-Bulk
Functional: PBE
Structure: optimized geometry

Lattice parameters (Å, degrees): 5.152 5.152 11.741 90.00 90.00 90.00
Space group I-42d (No. 122)
One atom of each set of equivalent atoms:
1 P 0.000 0.000 0.000 x4
2 Ir 0.213 0.250 0.125 x8
3 Rh 0.000 0.000 0.500 x4

Properties
Calculated total energy (eV/cell): -115.5
Energy relative to the elements (kJ/mol of formula units): 155
Crystal system: tetragonal